1.
Density functional theory data (PBE) for a geometry-optimized HfAgAu structure.

abc: 5.084 5.084 5.084
angles: 139.09 139.09 59.23
Sites, in units of the cell vectors:
Hf 0.000 0.000 0.000
Ag 0.328 0.328 0.000
Au 0.665 0.665 0.000

Summary:
ΔE to the lowest computed polymorph: 0.000 eV per atom
Crystal system: tetragonal
ρ: 14.4 Mg/m³
Total moment: 0.12 μB per cell

=====

2.
Density functional theory data (PBE) for a geometry-optimized HfAg2Au structure.

abc: 4.683 4.683 4.683
angles: 60.00 60.00 60.00
Sites, in units of the cell vectors:
Hf 0.000 0.000 0.000
Ag 0.250 0.250 0.250
Ag 0.500 0.500 0.500
Au 0.750 0.750 0.750

Summary:
Crystal system: cubic
ρ: 13.5 Mg/m³
Total moment: 0.00 μB per cell

=====

3.
Density functional theory data (PBE) for a geometry-optimized HfAgAu structure.

abc: 4.554 4.554 4.554
angles: 60.00 60.00 60.00
Sites, in units of the cell vectors:
Hf 0.000 0.000 0.000
Ag 0.750 0.750 0.750
Au 0.250 0.250 0.250

Summary:
ΔE to the lowest computed polymorph: 0.439 eV per atom
Crystal system: cubic
ρ: 12.0 Mg/m³
Total moment: 0.00 μB per cell

=====

E (computed, Ha/atom): -0.20780, -0.17951, -0.19166
ΔE_f (computed, eV/atom): -0.306, -0.167, 0.133